Here is a relaxed Li3ScTi crystal from the Alexandria database. Energies are from PBE.

Computed properties:
ΔH_f (0 K), eV/atom: 0.959
Total moment, μB/atom: 0.7945
Raw total energy, eV per atom: -3.034
Distance to the lowest polymorph of the same formula, meV per atom: 0.0

Cell lengths 4.8408, 4.8408, 4.8408 Å; angles 90.00, 90.00, 90.00 degrees
With the nearest neighbours (Å) after each atom.
Fractional positions:
Li (0.0000, 0.0000, 0.5000)  2 Ti 2.42
Li (0.0000, 0.5000, 0.0000)  2 Ti 2.42
Li (0.5000, 0.0000, 0.0000)  2 Ti 2.42
Sc (0.5000, 0.5000, 0.5000)  12 Li 3.42
Ti (0.0000, 0.0000, 0.0000)  6 Li 2.42